# 1
First-principles (PBE) data for crystalline Sb2TeHRh at its relaxed geometry, as listed in Alexandria via LeMat-Bulk.

Values from the calculation:
Distance to the lowest polymorph of the same formula   0.000 eV/f.u.
Mass density   8.2 g cm⁻³
D(E_F)   2.13 states/eV per cell
V   96.0 Å³/cell
M_tot   0.000 μB/atom

```
data_Sb2TeHRh
_chemical_formula_sum 'Sb2 Te1 H1 Rh1'
_cell_length_a 4.5700
_cell_length_b 4.5700
_cell_length_c 4.5983
_cell_angle_alpha 90.00
_cell_angle_beta 90.00
_cell_angle_gamma 90.00
_space_group_name_H-M_alt 'P 4/m m m'
_space_group_IT_number 123
_space_group_name_Hall '-P 4 2'
loop_
_atom_site_label
_atom_site_type_symbol
_atom_site_fract_x
_atom_site_fract_y
_atom_site_fract_z
Sb1 Sb 0.0000 0.5000 0.0000
Te1 Te 0.0000 0.0000 0.5000
H1 H 0.0000 0.0000 0.0000
Rh1 Rh 0.5000 0.5000 0.5000
```



# 2
First-principles (PBE) data for crystalline CrAgSb2 at its relaxed geometry, as listed in Alexandria via LeMat-Bulk.

Values from the calculation:
Distance to the lowest polymorph of the same formula   0.072 eV/f.u.
Mass density   7.5 g cm⁻³
D(E_F)   4.99 states/eV per cell
V   179.1 Å³/cell
Energy relative to the elements, uncorrected   224 meV/atom
M_tot   0.783 μB/atom

```
data_CrAgSb2
_chemical_formula_sum 'Cr2 Ag2 Sb4'
_cell_length_a 3.1911
_cell_length_b 4.3275
_cell_length_c 12.9687
_cell_angle_alpha 90.00
_cell_angle_beta 90.00
_cell_angle_gamma 90.00
_space_group_name_H-M_alt 'I m m 2'
_space_group_IT_number 44
loop_
_space_group_symop_operation_xyz
'x,y,z'
'-x,-y,z'
'-x,y,z'
'x,-y,z'
'x+1/2,y+1/2,z+1/2'
'-x+1/2,-y+1/2,z+1/2'
'-x+1/2,y+1/2,z+1/2'
'x+1/2,-y+1/2,z+1/2'
loop_
_atom_site_label
_atom_site_type_symbol
_atom_site_fract_x
_atom_site_fract_y
_atom_site_fract_z
Cr1 Cr 0.0000 0.0000 0.0000
Ag1 Ag 0.0000 0.5000 0.2922
Sb1 Sb 0.0000 0.0000 0.4531
Sb2 Sb 0.0000 0.5000 0.6797
```



# 3
First-principles (PBE) data for crystalline LaSmPa at its relaxed geometry, as listed in Alexandria via LeMat-Bulk.

Values from the calculation:
Distance to the lowest polymorph of the same formula   0.000 eV/f.u.
Mass density   9.3 g cm⁻³
D(E_F)   8.17 states/eV per cell
V   185.5 Å³/cell
M_tot   0.000 μB/atom
Energy of formation   0.161 eV per atom

```
data_LaSmPa
_chemical_formula_sum 'La2 Sm2 Pa2'
_cell_length_a 3.4047
_cell_length_b 3.4047
_cell_length_c 16.0012
_cell_angle_alpha 90.00
_cell_angle_beta 90.00
_cell_angle_gamma 90.00
_space_group_name_H-M_alt 'I 4 m m'
_space_group_IT_number 107
_space_group_name_Hall 'I 4 -2'
loop_
_atom_site_label
_atom_site_type_symbol
_atom_site_fract_x
_atom_site_fract_y
_atom_site_fract_z
La1 La 0.0000 0.0000 0.0000
Sm1 Sm 0.0000 0.0000 0.6982
Pa1 Pa 0.0000 0.0000 0.3489
```



# 4
First-principles (PBE) data for crystalline ScTl2Cl3O at its relaxed geometry, as listed in Alexandria via LeMat-Bulk.

Values from the calculation:
Mass density   5.3 g cm⁻³
D(E_F)   0.00 states/eV per cell
V   360.0 Å³/cell
Energy relative to the elements, uncorrected   -1674 meV/atom
M_tot   0.000 μB/atom

```
data_ScTl2Cl3O
_chemical_formula_sum 'Sc2 Tl4 Cl6 O2'
_cell_length_a 3.9724
_cell_length_b 5.2956
_cell_length_c 17.1123
_cell_angle_alpha 90.00
_cell_angle_beta 90.00
_cell_angle_gamma 90.00
_space_group_name_H-M_alt 'I m m m'
_space_group_IT_number 71
_space_group_name_Hall '-I 2 2'
loop_
_atom_site_label
_atom_site_type_symbol
_atom_site_fract_x
_atom_site_fract_y
_atom_site_fract_z
Sc1 Sc 0.0000 0.0000 0.0000
Tl1 Tl 0.0000 0.0000 0.3522
Cl1 Cl 0.0000 0.0000 0.1552
Cl2 Cl 0.0000 0.5000 0.0000
O1 O 0.0000 0.5000 0.5000
```



# 5
First-principles (PBE) data for crystalline TaCdFe2 at its relaxed geometry, as listed in Alexandria via LeMat-Bulk.

Values from the calculation:
Mass density   11.2 g cm⁻³
D(E_F)   5.15 states/eV per cell
V   120.5 Å³/cell
M_tot   0.847 μB/atom
Energy of formation   0.244 eV per atom

```
data_TaCdFe2
_chemical_formula_sum 'Ta2 Cd2 Fe4'
_cell_length_a 3.0029
_cell_length_b 4.4337
_cell_length_c 9.0530
_cell_angle_alpha 90.00
_cell_angle_beta 90.00
_cell_angle_gamma 90.00
_space_group_name_H-M_alt 'I m m 2'
_space_group_IT_number 44
loop_
_space_group_symop_operation_xyz
'x,y,z'
'-x,-y,z'
'-x,y,z'
'x,-y,z'
'x+1/2,y+1/2,z+1/2'
'-x+1/2,-y+1/2,z+1/2'
'-x+1/2,y+1/2,z+1/2'
'x+1/2,-y+1/2,z+1/2'
loop_
_atom_site_label
_atom_site_type_symbol
_atom_site_fract_x
_atom_site_fract_y
_atom_site_fract_z
Ta1 Ta 0.0000 0.0000 0.0000
Cd1 Cd 0.0000 0.5000 0.7804
Fe1 Fe 0.0000 0.0000 0.5381
Fe2 Fe 0.0000 0.5000 0.2471
```



# 6
First-principles (PBE) data for crystalline Zr3Zn8Pd at its relaxed geometry, as listed in Alexandria via LeMat-Bulk.

Values from the calculation:
Mass density   7.7 g cm⁻³
D(E_F)   18.93 states/eV per cell
V   584.7 Å³/cell
M_tot   0.073 μB/atom
Energy of formation   -0.315 eV per atom

```
data_Zr3Zn8Pd
_chemical_formula_sum 'Zr9 Zn24 Pd3'
_cell_length_a 5.1588
_cell_length_b 5.1588
_cell_length_c 25.3689
_cell_angle_alpha 90.00
_cell_angle_beta 90.00
_cell_angle_gamma 120.00
_space_group_name_H-M_alt 'R 3 m'
_space_group_IT_number 160
_space_group_name_Hall 'R 3 -2"'
loop_
_atom_site_label
_atom_site_type_symbol
_atom_site_fract_x
_atom_site_fract_y
_atom_site_fract_z
Zr1 Zr 0.0000 0.0000 0.0000
Zr2 Zr 0.0000 0.0000 0.1255
Zr3 Zr 0.0000 0.0000 0.6189
Zn1 Zn 0.0000 0.0000 0.3106
Zn2 Zn 0.0000 0.0000 0.8108
Zn3 Zn 0.1670 0.3339 0.8937
Zn4 Zn 0.1674 0.3348 0.3941
Pd1 Pd 0.0000 0.0000 0.5006
```